{"formula": "Er3V5O12", "functional": "PBE with a Hubbard U", "state": "relaxed", "n_ef_per_ev_cell": 25.12, "vol_a3_per_cell": 983.7, "final_energy_ev_per_atom": -8.08, "lattice": [[10.852, 0.000, 0.000], [-3.617, 10.231, 0.000], [-3.617, -5.116, 8.860]], "species": ["Er", "O", "V", "O", "Er", "V", "V", "V", "Er", "O", "O", "O", "V", "O", "O", "O", "Er", "O", "O", "O", "O", "O", "V", "V", "O", "Er", "V", "O", "V", "O", "O", "Er", "O", "O", "O", "V", "V", "O", "V", "O", "O", "O", "O", "O", "O", "O", "O", "V", "V", "V", "O", "V", "Er", "O", "O", "Er", "O", "O", "Er", "Er", "Er", "O", "V", "O", "O", "O", "O", "O", "O", "O", "O", "Er", "O", "O", "O", "O", "V", "V", "O", "V"], "fractional_positions": [[0.375, 0.625, 0.250], [0.628, 0.594, 0.915], [0.750, 0.125, 0.875], [0.872, 0.585, 0.906], [0.250, 0.125, 0.375], [0.500, 0.000, 0.000], [0.875, 0.250, 0.625], [0.250, 0.375, 0.625], [0.750, 0.875, 0.625], [0.213, 0.679, 0.085], [0.287, 0.415, 0.821], [0.321, 0.787, 0.415], [0.625, 0.750, 0.875], [0.787, 0.466, 0.372], [0.034, 0.628, 0.713], [0.372, 0.406, 0.085], [0.875, 0.750, 0.125], [0.415, 0.287, 0.321], [0.179, 0.094, 0.966], [0.287, 0.872, 0.966], [0.406, 0.034, 0.321], [0.966, 0.372, 0.287], [0.375, 0.125, 0.750], [0.875, 0.625, 0.750], [0.034, 0.406, 0.821], [0.125, 0.250, 0.875], [0.125, 0.375, 0.250], [0.787, 0.321, 0.915], [0.000, 0.000, 0.500], [0.085, 0.179, 0.213], [0.585, 0.713, 0.679], [0.625, 0.250, 0.375], [0.372, 0.966, 0.787], [0.128, 0.713, 0.534], [0.906, 0.085, 0.872], [0.750, 0.625, 0.375], [0.500, 0.000, 0.500], [0.713, 0.128, 0.034], [0.500, 0.500, 0.000], [0.966, 0.594, 0.179], [0.466, 0.679, 0.094], [0.085, 0.906, 0.372], [0.915, 0.094, 0.628], [0.821, 0.915, 0.287], [0.415, 0.128, 0.594], [0.321, 0.534, 0.406], [0.466, 0.787, 0.872], [0.000, 0.500, 0.500], [0.000, 0.000, 0.000], [0.375, 0.250, 0.125], [0.679, 0.466, 0.594], [0.000, 0.500, 0.000], [0.250, 0.625, 0.875], [0.534, 0.213, 0.128], [0.872, 0.287, 0.466], [0.375, 0.750, 0.625], [0.585, 0.872, 0.406], [0.094, 0.915, 0.128], [0.750, 0.375, 0.125], [0.125, 0.875, 0.750], [0.875, 0.125, 0.250], [0.821, 0.906, 0.034], [0.625, 0.875, 0.250], [0.213, 0.534, 0.628], [0.179, 0.085, 0.713], [0.594, 0.628, 0.415], [0.915, 0.821, 0.787], [0.094, 0.179, 0.466], [0.128, 0.415, 0.094], [0.713, 0.585, 0.179], [0.679, 0.213, 0.585], [0.625, 0.375, 0.750], [0.406, 0.372, 0.585], [0.594, 0.966, 0.679], [0.534, 0.321, 0.906], [0.628, 0.034, 0.213], [0.500, 0.500, 0.500], [0.250, 0.875, 0.125], [0.906, 0.821, 0.534], [0.125, 0.750, 0.375]]}